Record 1
! Na2AgTe2 | the Alexandria database | GGA-PBE | optimized geometry; values from VASP
! **N(E_F)**: 4.6 states/eV per cell
! **Energy relative to the elements, uncorrected**: -0.11 eV per atom
! **Distance to the lowest polymorph of the same formula**: 0.456 eV per atom
! **Mass density**: 4.43 g/cm3
&SYSTEM
  ibrav = 0, nat = 5, ntyp = 3
/
ATOMIC_SPECIES
Na 22.99 Na.upf
Ag 107.87 Ag.upf
Te 127.60 Te.upf
ATOMIC_POSITIONS crystal
Na 0.250 0.750 0.500
Na 0.750 0.250 0.500
Ag 0.000 0.000 0.000
Te 0.391 0.391 0.000
Te 0.609 0.609 0.000
CELL_PARAMETERS angstrom
-2.350 2.350 6.945
2.350 -2.350 6.945
2.350 2.350 -6.945

---

Record 2
! CaCo2AgAu | the Alexandria database | GGA-PBE | optimized geometry; values from VASP
! **N(E_F)**: 3.3 states/eV per cell
! **ΔH_f (0 K)**: 36.3 kcal/mol of atoms
! **Mass density**: 7.54 g/cm3
&SYSTEM
  ibrav = 0, nat = 5, ntyp = 4
/
ATOMIC_SPECIES
Ca 40.08 Ca.upf
Co 58.93 Co.upf
Ag 107.87 Ag.upf
Au 196.97 Au.upf
ATOMIC_POSITIONS crystal
Ca 0.000 0.000 0.000
Co 0.000 0.500 0.000
Co 0.500 0.000 0.000
Ag 0.000 0.000 0.500
Au 0.500 0.500 0.500
CELL_PARAMETERS angstrom
4.479 0.000 0.000
0.000 4.479 0.000
0.000 0.000 5.079

---

Record 3
! SmErMgPt | the Alexandria database | GGA-PBE | optimized geometry; values from VASP
! **N(E_F)**: 2.6 states/eV per cell
! **ΔH_f (0 K)**: -13.2 kcal/mol of atoms
! **Mass density**: 9.41 g/cm3
&SYSTEM
  ibrav = 0, nat = 4, ntyp = 4
/
ATOMIC_SPECIES
Sm 150.36 Sm.upf
Er 167.26 Er.upf
Mg 24.30 Mg.upf
Pt 195.08 Pt.upf
ATOMIC_POSITIONS crystal
Sm 0.000 0.000 0.000
Er 0.500 0.500 0.500
Mg 0.750 0.750 0.750
Pt 0.250 0.250 0.250
CELL_PARAMETERS angstrom
0.000 3.618 3.618
3.618 0.000 3.618
3.618 3.618 0.000